1.
Zr3FePd: relaxed, PBEsol.

Cell: 4.6746 4.6746 4.6746 Å, 90.00 90.00 90.00°
Last column: nearest neighbours and their distance in Å.
Fractional coordinates of all 5 atoms:
Zr: 0.0000 0.0000 0.5000  2 Fe 2.34
Zr: 0.0000 0.5000 0.0000  2 Fe 2.34
Zr: 0.5000 0.0000 0.0000  2 Fe 2.34
Fe: 0.0000 0.0000 0.0000  6 Zr 2.34
Pd: 0.5000 0.5000 0.5000  12 Zr 3.31

Computed properties:
Formation enthalpy at 0 K in eV/atom: 0.187
Total energy in eV/f.u.: -41.255
Fermi-level density of states in states/eV per atom: 1.4329
Calculated density in Mg/m³: 7.1

=====

2.
Tl2InPt: relaxed, PBEsol.

Cell: 5.4423 5.4423 5.4423 Å, 131.33 131.33 71.29°
Last column: nearest neighbours and their distance in Å.
Fractional coordinates of all 4 atoms:
Tl: 0.2500 0.7500 0.5000  4 In 3.15, 4 Pt 3.15, 4 Tl 3.17
Tl: 0.7500 0.2500 0.5000  4 In 3.15, 4 Pt 3.15, 4 Tl 3.17
In: 0.0000 0.0000 0.0000  8 Tl 3.15, 4 Pt 3.17
Pt: 0.5000 0.5000 0.0000  8 Tl 3.15, 4 In 3.17

Computed properties:
Formation enthalpy at 0 K in eV/atom: 0.130
Total energy in eV/f.u.: -14.686
Fermi-level density of states in states/eV per atom: 0.4082
Calculated density in Mg/m³: 13.4

=====

3.
LaRhC2: relaxed, PBEsol.

Cell: 3.9349 3.9349 15.2022 Å, 90.00 90.00 90.00°
Last column: nearest neighbours and their distance in Å.
Fractional coordinates of all 16 atoms:
La: 0.1452 0.8528 0.0000  8 C 2.80-2.90, 2 Rh 3.11
La: 0.1472 0.1452 0.2500  8 C 2.80-2.90, 2 Rh 3.11
La: 0.8528 0.8548 0.7500  8 C 2.80-2.90, 2 Rh 3.11
La: 0.8548 0.1472 0.5000  8 C 2.80-2.90, 2 Rh 3.11
Rh: 0.3433 0.3565 0.8448  4 C 2.04-2.13
Rh: 0.3565 0.6567 0.5948  4 C 2.04-2.13
Rh: 0.6435 0.3433 0.0948  4 C 2.04-2.13
Rh: 0.6567 0.6435 0.3448  4 C 2.04-2.13
C: 0.1520 0.6515 0.3879  1 C 1.36
C: 0.3353 0.3539 0.7106  1 C 1.36
C: 0.3485 0.1520 0.6379  1 C 1.36
C: 0.3539 0.6647 0.4606  1 C 1.36
C: 0.6461 0.3353 0.9606  1 C 1.36
C: 0.6515 0.8480 0.1379  1 C 1.36
C: 0.6647 0.6461 0.2106  1 C 1.36
C: 0.8480 0.3485 0.8879  1 C 1.36

Computed properties:
Formation enthalpy at 0 K in eV/atom: -0.361
Total energy in eV/f.u.: -34.217
Fermi-level density of states in states/eV per atom: 0.1238
Calculated density in Mg/m³: 7.5

=====

4.
In2PSe: relaxed, PBEsol.

Cell: 3.4790 4.8160 4.9996 Å, 90.00 90.00 90.00°
Last column: nearest neighbours and their distance in Å.
Fractional coordinates of all 4 atoms:
In: 0.0000 0.0000 0.0000  4 Se 2.97, 4 P 3.05
In: 0.0000 0.5000 0.5000  4 P 2.97, 4 Se 3.05
P: 0.5000 0.0000 0.5000  8 In 2.97-3.05
Se: 0.5000 0.5000 0.0000  8 In 2.97-3.05

Computed properties:
Formation energy without anion corrections in eV per atom: 0.093
Total energy in eV/f.u.: -15.235
Fermi-level density of states in states/eV per atom: 0.5788
Calculated density in Mg/m³: 6.7

=====

5.
TaCuAsI2: relaxed, PBEsol.

Cell: 5.0623 5.0623 4.9007 Å, 90.00 90.00 90.00°
Last column: nearest neighbours and their distance in Å.
Fractional coordinates of all 5 atoms:
Ta: 0.0000 0.0000 0.0000  2 Cu 2.45
Cu: 0.0000 0.0000 0.5000  2 Ta 2.45, 4 I 2.53
As: 0.5000 0.5000 0.0000  8 I 3.52, 4 Ta 3.58
I: 0.0000 0.5000 0.5000  2 Cu 2.53
I: 0.5000 0.0000 0.5000  2 Cu 2.53

Computed properties:
Formation energy without anion corrections in eV per atom: 1.290
Total energy in eV/f.u.: -19.076
Fermi-level density of states in states/eV per atom: 0.9965
Calculated density in Mg/m³: 7.6

=====

6.
Ba2LuRuO6: relaxed, PBEsol.

Cell: 5.8152 5.8152 5.8152 Å, 60.00 60.00 60.00°
Last column: nearest neighbours and their distance in Å.
Fractional coordinates of all 10 atoms:
Ba: 0.2500 0.2500 0.2500  12 O 2.91
Ba: 0.7500 0.7500 0.7500  12 O 2.91
Lu: 0.0000 0.0000 0.0000  6 O 2.16
Ru: 0.5000 0.5000 0.5000  6 O 1.95
O: 0.2624 0.2624 0.7376  1 Ru 1.95, 1 Lu 2.16
O: 0.2624 0.7376 0.2624  1 Ru 1.95, 1 Lu 2.16
O: 0.2624 0.7376 0.7376  1 Ru 1.95, 1 Lu 2.16
O: 0.7376 0.2624 0.2624  1 Ru 1.95, 1 Lu 2.16
O: 0.7376 0.2624 0.7376  1 Ru 1.95, 1 Lu 2.16
O: 0.7376 0.7376 0.2624  1 Ru 1.95, 1 Lu 2.16

Computed properties:
Formation energy without anion corrections in eV per atom: -2.542
Total energy in eV/f.u.: -76.257
Fermi-level density of states in states/eV per atom: 0.2408
Calculated density in Mg/m³: 7.7

=====

7.
Mn2TlCd: relaxed, PBEsol.

Cell: 4.8473 4.8473 5.2314 Å, 100.99 100.99 36.77°
Last column: nearest neighbours and their distance in Å.
Fractional coordinates of all 4 atoms:
Mn: 0.2493 0.2493 0.2373  3 Cd 2.83, 3 Tl 2.88-2.90, 6 Mn 2.92-3.14
Mn: 0.7507 0.7507 0.7627  3 Cd 2.83, 3 Tl 2.88-2.90, 6 Mn 2.92-3.14
Tl: 0.0000 0.0000 0.5000  6 Mn 2.88-2.90, 4 Cd 3.03, 2 Tl 3.06
Cd: 0.5000 0.5000 0.0000  6 Mn 2.83, 4 Tl 3.03, 2 Cd 3.06

Computed properties:
Formation enthalpy at 0 K in eV/atom: 0.569
Total energy in eV/f.u.: -21.073
Fermi-level density of states in states/eV per atom: 0.9479
Calculated density in Mg/m³: 9.8

=====

8.
ScCr2Cl: relaxed, PBEsol.

Cell: 3.0054 3.0054 7.3076 Å, 90.00 90.00 90.00°
Last column: nearest neighbours and their distance in Å.
Fractional coordinates of all 4 atoms:
Sc: 0.0000 0.0000 0.0000  4 Cl 2.71, 5 Cr 2.82-2.98, 4 Sc 3.01
Cr: 0.0000 0.0000 0.5926  4 Cr 2.40
Cr: 0.5000 0.5000 0.7457  4 Cr 2.40
Cl: 0.5000 0.5000 0.2309  4 Sc 2.71, 4 Cl 3.01

Computed properties:
Formation energy without anion corrections in eV per atom: -0.110
Total energy in eV/f.u.: -29.536
Fermi-level density of states in states/eV per atom: 0.6078
Calculated density in Mg/m³: 4.6

=====

9.
Sc2InPb: relaxed, PBEsol.

Cell: 5.3809 5.3809 5.3809 Å, 129.87 129.87 73.61°
Last column: nearest neighbours and their distance in Å.
Fractional coordinates of all 4 atoms:
Sc: 0.2500 0.7500 0.5000  4 Pb 3.14, 4 In 3.14, 4 Sc 3.22
Sc: 0.7500 0.2500 0.5000  4 Pb 3.14, 4 In 3.14, 4 Sc 3.22
In: 0.0000 0.0000 0.0000  8 Sc 3.14, 4 Pb 3.22
Pb: 0.5000 0.5000 0.0000  8 Sc 3.14, 4 In 3.22

Computed properties:
Formation enthalpy at 0 K in eV/atom: -0.428
Total energy in eV/f.u.: -21.902
Fermi-level density of states in states/eV per atom: 0.8272
Calculated density in Mg/m³: 7.6

=====

10.
TaIn2P: relaxed, PBEsol.

Cell: 3.1240 5.0893 4.9698 Å, 90.00 90.37 90.00°
Last column: nearest neighbours and their distance in Å.
Fractional coordinates of all 4 atoms:
Ta: 0.0000 0.0000 0.0000  2 P 2.48
In: 0.2981 0.5000 0.2509  3 In 2.77-3.10, 2 Ta 2.98, 2 P 2.98
In: 0.7019 0.5000 0.7491  3 In 2.77-3.10, 2 Ta 2.98, 2 P 2.98
P: 0.0000 0.0000 0.5000  2 Ta 2.48

Computed properties:
Formation enthalpy at 0 K in eV/atom: 0.278
Total energy in eV/f.u.: -23.195
Fermi-level density of states in states/eV per atom: 0.5654
Calculated density in Mg/m³: 9.3

=====

11.
ScSi3Ir: relaxed, PBEsol.

Cell: 4.6655 4.6655 4.6655 Å, 90.00 90.00 90.00°
Last column: nearest neighbours and their distance in Å.
Fractional coordinates of all 5 atoms:
Sc: 0.0000 0.0000 0.0000  6 Si 2.33
Si: 0.0000 0.0000 0.5000  2 Sc 2.33
Si: 0.0000 0.5000 0.0000  2 Sc 2.33
Si: 0.5000 0.0000 0.0000  2 Sc 2.33
Ir: 0.5000 0.5000 0.5000  12 Si 3.30

Computed properties:
Formation energy without anion corrections in eV per atom: 1.600
Total energy in eV/f.u.: -25.667
Fermi-level density of states in states/eV per atom: 0.7673
Calculated density in Mg/m³: 5.3

=====

12.
K2MgTcPt: relaxed, PBEsol.

Cell: 6.0873 6.0873 4.7615 Å, 90.00 90.00 90.00°
Last column: nearest neighbours and their distance in Å.
Fractional coordinates of all 5 atoms:
K: 0.0000 0.5000 0.0000  2 Pt 3.04
K: 0.5000 0.0000 0.0000  2 Pt 3.04
Mg: 0.0000 0.0000 0.5000  8 K 3.86, 4 Tc 4.30
Tc: 0.5000 0.5000 0.5000  2 Pt 2.38
Pt: 0.5000 0.5000 0.0000  2 Tc 2.38

Computed properties:
Formation enthalpy at 0 K in eV/atom: 0.984
Total energy in eV/f.u.: -17.295
Fermi-level density of states in states/eV per atom: 0.7150
Calculated density in Mg/m³: 3.7

=====

Q: Which value of total energy does entry 8 give?
A: -29.536 eV/f.u.